The following is a DFT calculation (PBE-GGA) of BaHoCu10 after structural relaxation.

Values from the calculation:
* calculated volume: 193.1 Å³/cell
* formation energy: -82.7 meV/atom
* density of states at the Fermi level: 0.50 states/eV/atom
* symmetry: Pmmm, No. 47

Cell lengths 4.0390, 5.2469, 9.1108 Å; angles 90.00, 90.00, 90.00 degrees
Fractional coordinates of all 12 atoms:
Ba1 0.0000 0.0000 0.0000
Ho1 0.0000 0.5000 0.5000
Cu1 0.0000 0.0000 0.3454
Cu2 0.0000 0.0000 0.6546
Cu3 0.0000 0.5000 0.1844
Cu4 0.0000 0.5000 0.8156
Cu5 0.5000 0.0000 0.5000
Cu6 0.5000 0.2608 0.2683
Cu7 0.5000 0.2608 0.7317
Cu8 0.5000 0.5000 0.0000
Cu9 0.5000 0.7392 0.2683
Cu10 0.5000 0.7392 0.7317

---

The following is a DFT calculation (PBE-GGA) of Cd2CoRh after structural relaxation.

Values from the calculation:
* calculated volume: 66.2 Å³/cell
* formation energy: 130.0 meV/atom
* density of states at the Fermi level: 1.02 states/eV/atom
* symmetry: Cm, No. 8

Cell lengths 5.2355, 5.2355, 4.7498 Å; angles 108.54, 108.54, 32.61 degrees
Fractional coordinates of all 4 atoms:
Cd1 0.0000 0.0000 0.0000
Cd2 0.2194 0.2194 0.6723
Co1 0.4675 0.4675 0.4740
Rh1 0.7602 0.7602 0.2040

---

The following is a DFT calculation (PBE-GGA) of ScNb3Co after structural relaxation.

Values from the calculation:
* calculated volume: 102.5 Å³/cell
* formation energy: 1974.2 meV/atom
* density of states at the Fermi level: 1.75 states/eV/atom
* symmetry: Pm-3m, No. 221
* energy above the lowest structure with this stoichiometry: 1450 meV/atom

Cell lengths 4.6796, 4.6796, 4.6796 Å; angles 90.00, 90.00, 90.00 degrees
Fractional coordinates of all 5 atoms:
Sc1 0.0000 0.0000 0.0000
Nb1 0.0000 0.0000 0.5000
Nb2 0.0000 0.5000 0.0000
Nb3 0.5000 0.0000 0.0000
Co1 0.5000 0.5000 0.5000

---

The following is a DFT calculation (PBE-GGA) of AgRh after structural relaxation.

Values from the calculation:
* calculated volume: 64.4 Å³/cell
* formation energy: 198.6 meV/atom
* density of states at the Fermi level: 1.24 states/eV/atom
* symmetry: Pmmn, No. 59

Cell lengths 2.8363, 3.8145, 5.9526 Å; angles 90.00, 90.00, 90.00 degrees
Fractional coordinates of all 4 atoms:
Ag1 0.2500 0.2500 0.1266
Ag2 0.7500 0.7500 0.8734
Rh1 0.2500 0.2500 0.5939
Rh2 0.7500 0.7500 0.4061

---

Q: Number 3 is which compound?
A: ScNb3Co